Computed, not measured: a geometry-optimized SrCoSeO structure at the PBE with a Hubbard U level of DFT.

Cell lengths 6.539, 6.885, 7.511 Å; angles 90.00, 90.00, 90.00 degrees
Element x y z (fractional)
Sr (0.665, 0.898, 0.108)
Sr (0.335, 0.398, 0.392)
O (0.959, 0.905, 0.881)
Co (0.118, 0.095, 0.974)
Se (0.435, 0.174, 0.841)
Sr (0.835, 0.102, 0.608)
Co (0.382, 0.905, 0.474)
Se (0.065, 0.826, 0.341)
O (0.541, 0.095, 0.381)
O (0.459, 0.595, 0.119)
Co (0.882, 0.595, 0.526)
Sr (0.165, 0.602, 0.892)
Co (0.618, 0.405, 0.026)
Se (0.935, 0.326, 0.159)
Se (0.565, 0.674, 0.659)
O (0.041, 0.405, 0.619)

Values from the calculation:
Space-group type = P2_12_12_1 (19)
E_tot = -5.166 eV/atom
Total magnetic moment = 12.000 Bohr magnetons per cell